# 1
A relaxed structure of Zr2TaSi, computed with PBE-GGA. Values from VASP.

Properties
Symmetry = C2/m (12)
Density = 8.42 g/cm³
ΔE_f (raw) = -0.097 eV per atom

Structure (Quantum ESPRESSO input):
```
&SYSTEM
  ibrav = 0, nat = 4, ntyp = 3
/
ATOMIC_SPECIES
Si 28.09 Si.upf
Ta 180.95 Ta.upf
Zr 91.22 Zr.upf
CELL_PARAMETERS angstrom
-2.859 1.144 -4.051
-0.321 -0.506 -5.053
-2.901 -4.205 -0.422
ATOMIC_POSITIONS crystal
Si 0.750 0.750 0.750
Ta 0.250 0.250 0.250
Zr 0.015 0.015 0.980
Zr 0.485 0.485 0.520
```

***

# 2
A relaxed structure of Ac3Mg2Cd9, computed with PBE-GGA. Values from VASP.

Properties
Symmetry = Immm (71)
Density = 7.66 g/cm³
ΔE_f = -0.293 eV/atom

Structure (Quantum ESPRESSO input):
```
&SYSTEM
  ibrav = 0, nat = 14, ntyp = 3
/
ATOMIC_SPECIES
Ac 227.00 Ac.upf
Mg 24.30 Mg.upf
Cd 112.41 Cd.upf
CELL_PARAMETERS angstrom
-4.053 1.400 2.708
-0.094 -5.543 7.475
3.355 3.872 7.769
ATOMIC_POSITIONS crystal
Ac 0.000 0.000 0.000
Ac 0.710 0.290 0.290
Ac 0.290 0.710 0.710
Mg 0.500 0.325 0.675
Mg 0.500 0.675 0.325
Cd 0.000 0.500 0.500
Cd 0.656 0.987 0.701
Cd 0.344 0.013 0.299
Cd 0.656 0.701 0.987
Cd 0.344 0.299 0.013
Cd 0.862 0.853 0.424
Cd 0.138 0.147 0.576
Cd 0.862 0.424 0.853
Cd 0.138 0.576 0.147
```

***

# 3
A relaxed structure of OsRhPb, computed with PBE-GGA. Values from VASP.

Properties
Symmetry = Cm (8)
Density = 14.95 g/cm³
ΔE_f = 0.458 eV/atom

Structure (Quantum ESPRESSO input):
```
&SYSTEM
  ibrav = 0, nat = 12, ntyp = 3
/
ATOMIC_SPECIES
Os 190.23 Os.upf
Rh 102.91 Rh.upf
Pb 207.20 Pb.upf
CELL_PARAMETERS angstrom
-5.011 -3.156 -0.837
1.457 -1.814 -1.885
8.046 -4.261 10.321
ATOMIC_POSITIONS crystal
Os 0.516 0.000 0.231
Os 0.516 0.500 0.731
Os 0.383 0.000 0.846
Os 0.383 0.500 0.346
Rh 0.932 0.000 0.812
Rh 0.932 0.500 0.312
Rh 0.785 0.000 0.448
Rh 0.785 0.500 0.948
Pb 0.324 0.000 0.524
Pb 0.324 0.500 0.024
Pb 0.965 0.000 0.142
Pb 0.965 0.500 0.642
```

***

# 4
A relaxed structure of SrTaNi2, computed with PBE-GGA. Values from VASP.

Properties
Symmetry = Fm-3m (225)
Density = 8.95 g/cm³
ΔE_f = 0.516 eV/atom

Structure (Quantum ESPRESSO input):
```
&SYSTEM
  ibrav = 0, nat = 4, ntyp = 3
/
ATOMIC_SPECIES
Sr 87.62 Sr.upf
Ni 58.69 Ni.upf
Ta 180.95 Ta.upf
CELL_PARAMETERS angstrom
1.658 -4.303 0.685
-1.584 -2.571 3.551
-2.710 -3.702 -0.829
ATOMIC_POSITIONS crystal
Sr 0.000 0.000 0.000
Ni 0.250 0.250 0.250
Ni 0.750 0.750 0.750
Ta 0.500 0.500 0.500
```

***

# 5
A relaxed structure of AcTc2B2, computed with PBE-GGA. Values from VASP.

Properties
Symmetry = I4/mmm (139)
Density = 8.24 g/cm³
ΔE_f = -0.217 eV/atom

Structure (Quantum ESPRESSO input):
```
&SYSTEM
  ibrav = 0, nat = 5, ntyp = 3
/
ATOMIC_SPECIES
Ac 227.00 Ac.upf
Tc 98.00 Tc.upf
B 10.81 B.upf
CELL_PARAMETERS angstrom
-2.144 3.392 -1.050
-3.539 -2.142 0.306
2.474 0.697 5.396
ATOMIC_POSITIONS crystal
Ac 0.000 0.000 0.000
Tc 0.750 0.250 0.500
Tc 0.250 0.750 0.500
B 0.304 0.304 0.607
B 0.696 0.696 0.393
```

***

# 6
A relaxed structure of RbCaSi3, computed with PBE-GGA. Values from VASP.

Properties
Symmetry = Pm-3m (221)
Density = 2.06 g/cm³
ΔE_f (raw) = 0.984 eV per atom

Structure (Quantum ESPRESSO input):
```
&SYSTEM
  ibrav = 0, nat = 5, ntyp = 3
/
ATOMIC_SPECIES
Ca 40.08 Ca.upf
Si 28.09 Si.upf
Rb 85.47 Rb.upf
CELL_PARAMETERS angstrom
-3.199 -1.124 4.370
0.895 -5.408 -0.736
4.422 0.282 3.310
ATOMIC_POSITIONS crystal
Ca 0.000 0.000 0.000
Si 0.000 0.500 0.000
Si 0.000 0.000 0.500
Si 0.500 0.000 0.000
Rb 0.500 0.500 0.500
```

***

# 7
A relaxed structure of Hf2Cu2Se, computed with PBE-GGA. Values from VASP.

Properties
Symmetry = P4/mbm (127)
Density = 10.02 g/cm³
ΔE_f (raw) = -0.264 eV per atom

Structure (Quantum ESPRESSO input):
```
&SYSTEM
  ibrav = 0, nat = 10, ntyp = 3
/
ATOMIC_SPECIES
Hf 178.49 Hf.upf
Cu 63.55 Cu.upf
Se 78.96 Se.upf
CELL_PARAMETERS angstrom
-0.642 0.571 6.916
-4.914 -4.941 -0.048
2.701 -2.691 0.473
ATOMIC_POSITIONS crystal
Hf 0.336 0.836 0.000
Hf 0.836 0.664 0.000
Hf 0.664 0.164 0.000
Hf 0.164 0.336 0.000
Cu 0.125 0.625 0.500
Cu 0.625 0.875 0.500
Cu 0.875 0.375 0.500
Cu 0.375 0.125 0.500
Se 0.000 0.000 0.000
Se 0.500 0.500 0.000
```

***

# 8
A relaxed structure of ScHgMo2, computed with PBE-GGA. Values from VASP.

Properties
Symmetry = Imm2 (44)
Density = 9.86 g/cm³
ΔE_f = 0.179 eV/atom

Structure (Quantum ESPRESSO input):
```
&SYSTEM
  ibrav = 0, nat = 4, ntyp = 3
/
ATOMIC_SPECIES
Hg 200.59 Hg.upf
Mo 95.94 Mo.upf
Sc 44.96 Sc.upf
CELL_PARAMETERS angstrom
5.288 -0.004 0.001
1.977 4.905 -0.001
-3.161 -3.149 2.838
ATOMIC_POSITIONS crystal
Hg 0.755 0.255 0.500
Mo 0.029 0.029 0.000
Mo 0.233 0.733 0.500
Sc 0.483 0.483 0.000
```

***

# 9
A relaxed structure of ScZnGa, computed with PBE-GGA. Values from VASP.

Properties
Symmetry = P3m1 (156)
Density = 5.66 g/cm³
ΔE_f = -0.397 eV/atom

Structure (Quantum ESPRESSO input):
```
&SYSTEM
  ibrav = 0, nat = 6, ntyp = 3
/
ATOMIC_SPECIES
Sc 44.96 Sc.upf
Zn 65.41 Zn.upf
Ga 69.72 Ga.upf
CELL_PARAMETERS angstrom
4.580 -0.001 -0.003
2.290 3.966 -0.002
0.002 0.001 5.814
ATOMIC_POSITIONS crystal
Sc 0.944 0.903 0.366
Sc 0.277 0.237 0.746
Zn 0.277 0.237 0.234
Zn 0.611 0.570 0.061
Ga 0.944 0.903 0.882
Ga 0.611 0.570 0.546
```

***

# 10
A relaxed structure of TbPm5NdHo2, computed with PBE-GGA. Values from VASP.

Properties
Symmetry = Cmc2_1 (36)
Density = 7.31 g/cm³
ΔE_f = 0.147 eV/atom

Structure (Quantum ESPRESSO input):
```
&SYSTEM
  ibrav = 0, nat = 18, ntyp = 4
/
ATOMIC_SPECIES
Tb 158.93 Tb.upf
Pm 145.00 Pm.upf
Nd 144.24 Nd.upf
Ho 164.93 Ho.upf
CELL_PARAMETERS angstrom
-5.305 1.124 -1.644
3.941 -6.445 -7.357
-3.515 -8.477 5.544
ATOMIC_POSITIONS crystal
Tb 0.588 0.176 0.955
Tb 0.412 0.824 0.455
Pm 0.392 0.784 0.025
Pm 0.719 0.437 0.809
Pm 0.479 0.958 0.741
Pm 0.297 0.595 0.704
Pm 0.983 0.966 0.523
Pm 0.608 0.216 0.525
Pm 0.281 0.563 0.309
Pm 0.521 0.042 0.241
Pm 0.703 0.405 0.204
Pm 0.017 0.034 0.023
Nd 0.798 0.597 0.510
Nd 0.202 0.403 0.010
Ho 0.884 0.768 0.819
Ho 0.110 0.221 0.737
Ho 0.116 0.232 0.319
Ho 0.890 0.779 0.237
```

***

# 11
A relaxed structure of Tm3Al2Fe7, computed with PBE-GGA. Values from VASP.

Properties
Symmetry = R-3m (166)
Density = 8.61 g/cm³
ΔE_f = -0.250 eV/atom

Structure (Quantum ESPRESSO input):
```
&SYSTEM
  ibrav = 0, nat = 12, ntyp = 3
/
ATOMIC_SPECIES
Tm 168.93 Tm.upf
Al 26.98 Al.upf
Fe 55.84 Fe.upf
CELL_PARAMETERS angstrom
4.900 0.000 1.534
2.210 4.373 1.534
0.007 0.004 8.572
ATOMIC_POSITIONS crystal
Tm 0.000 0.000 0.000
Tm 0.860 0.860 0.421
Tm 0.140 0.140 0.579
Al 0.667 0.667 0.000
Al 0.333 0.333 0.000
Fe 0.500 0.500 0.500
Fe 0.917 0.416 0.251
Fe 0.416 0.917 0.251
Fe 0.416 0.416 0.251
Fe 0.083 0.584 0.749
Fe 0.584 0.584 0.749
Fe 0.584 0.083 0.749
```

***

# 12
A relaxed structure of La2CdGe3Rh4, computed with PBE-GGA. Values from VASP.

Properties
Symmetry = P-4m2 (115)
Density = 8.66 g/cm³
ΔE_f = -0.775 eV/atom

Structure (Quantum ESPRESSO input):
```
&SYSTEM
  ibrav = 0, nat = 10, ntyp = 4
/
ATOMIC_SPECIES
La 138.91 La.upf
Cd 112.41 Cd.upf
Ge 72.64 Ge.upf
Rh 102.91 Rh.upf
CELL_PARAMETERS angstrom
-1.619 -0.700 -3.873
3.913 0.168 -1.665
1.081 -10.639 1.470
ATOMIC_POSITIONS crystal
La 0.500 0.000 0.247
La 0.000 0.500 0.753
Cd 0.500 0.500 0.500
Ge 0.000 0.000 0.500
Ge 0.500 0.000 0.879
Ge 0.000 0.500 0.121
Rh 0.500 0.500 0.000
Rh 0.000 0.000 0.000
Rh 0.500 0.000 0.651
Rh 0.000 0.500 0.349
```